(1)
Computed, not measured: a geometry-optimized SrMoRh2 structure at the PBE-GGA level of DFT.

**Total moment**: 0.00 μB/f.u.
**Calculated total energy**: -6.538 eV per atom
**ρ**: 8.183 g cm⁻³
**Energy above the most stable polymorph in this dataset**: 94.9 kJ/mol of formula units
**Energy of formation from the pure elements**: 0.266 eV/atom

extended XYZ file:
```
4
Lattice="4.766 -1.487 0.000 4.766 1.487 0.000 -0.939 0.000 5.575" Properties=species:S:1:pos:R:3 pbc="T T T"
Sr 0.000 0.000 0.000
Mo 1.479 0.000 3.387
Rh 4.215 0.000 2.833
Rh 7.007 0.000 1.464
```

=====

(2)
Computed, not measured: a geometry-optimized NdVSb2 structure at the PBE-GGA level of DFT.

**ΔE_f (raw)**: 0.218 eV/atom
**Total moment**: 3.72 μB/f.u.
**Calculated total energy**: -5.314 eV per atom
**ρ**: 6.663 g cm⁻³

extended XYZ file:
```
4
Lattice="1.709 0.986 10.812 -1.709 0.986 10.812 0.000 -1.973 10.812" Properties=species:S:1:pos:R:3 pbc="T T T"
Nd 0.000 0.000 0.000
V 0.000 0.000 16.218
Sb 0.000 0.000 13.497
Sb 0.000 0.000 18.939
```

=====

(3)
Computed, not measured: a geometry-optimized La2PAu2 structure at the PBE-GGA level of DFT.

**Total moment**: 0.00 μB/f.u.
**Calculated total energy**: -5.104 eV per atom
**ρ**: 9.183 g cm⁻³
**Energy above the most stable polymorph in this dataset**: 1.2 kJ/mol of formula units
**Energy of formation from the pure elements**: -0.740 eV/atom

extended XYZ file:
```
10
Lattice="7.818 0.000 0.000 0.000 7.818 0.000 0.000 0.000 4.158" Properties=species:S:1:pos:R:3 pbc="T T T"
La 1.400 2.509 0.000
La 2.509 6.418 0.000
La 5.309 1.400 0.000
La 6.418 5.309 0.000
P 0.000 0.000 2.079
P 3.909 3.909 2.079
Au 0.983 4.892 2.079
Au 2.926 0.983 2.079
Au 4.892 6.835 2.079
Au 6.835 2.926 2.079
```

=====

(4)
Computed, not measured: a geometry-optimized Sr3Li3Hg structure at the PBE-GGA level of DFT.

**Total moment**: 0.00 μB/f.u.
**Calculated total energy**: -1.722 eV per atom
**ρ**: 3.308 g cm⁻³
**Energy of formation from the pure elements**: -0.138 eV/atom

extended XYZ file:
```
7
Lattice="-2.245 2.485 10.894 2.245 -2.485 10.894 2.245 2.485 -10.894" Properties=species:S:1:pos:R:3 pbc="T T T"
Sr 0.000 0.000 0.000
Sr 0.000 0.000 8.162
Sr 0.000 2.485 4.286
Li 2.245 0.000 2.852
Li 0.000 0.000 12.101
Li 0.000 0.000 17.918
Hg 2.245 0.000 5.605
```

=====

(5)
Computed, not measured: a geometry-optimized BaZnIr2 structure at the PBE-GGA level of DFT.

**Total moment**: 0.44 μB/f.u.
**Calculated total energy**: -5.470 eV per atom
**ρ**: 10.108 g cm⁻³
**Energy of formation from the pure elements**: -0.240 eV/atom

extended XYZ file:
```
4
Lattice="2.222 1.283 5.638 -2.222 1.283 5.638 0.000 -2.566 5.638" Properties=species:S:1:pos:R:3 pbc="T T T"
Ba 0.000 0.000 0.000
Zn 0.000 0.000 3.111
Ir 0.000 0.000 8.217
Ir 0.000 0.000 13.736
```

=====

(6)
Computed, not measured: a geometry-optimized AlSi2S structure at the PBE-GGA level of DFT.

**ΔE_f (raw)**: 0.288 eV/atom
**Total moment**: 0.00 μB/f.u.
**Calculated total energy**: -4.391 eV per atom
**ρ**: 2.189 g cm⁻³
**Energy above the most stable polymorph in this dataset**: 0.0 kJ/mol of formula units

extended XYZ file:
```
8
Lattice="-2.758 2.758 5.745 2.758 -2.758 5.745 2.758 2.758 -5.745" Properties=species:S:1:pos:R:3 pbc="T T T"
Al 0.000 0.000 0.000
Al 0.000 2.758 2.873
Si 1.379 -1.339 4.309
Si 1.419 1.379 1.436
Si 1.379 4.097 -1.436
Si 1.339 1.379 7.182
S 2.758 0.000 2.873
S 0.000 0.000 5.745
```

=====

(7)
Computed, not measured: a geometry-optimized Pu4NO5 structure at the PBE-GGA level of DFT.

**ΔE_f (raw)**: -2.618 eV/atom
**Total moment**: 19.00 μB/f.u.
**Calculated total energy**: -11.662 eV per atom
**ρ**: 12.136 g cm⁻³
**Energy above the most stable polymorph in this dataset**: 44.4 kJ/mol of formula units

extended XYZ file:
```
10
Lattice="7.068 -1.796 0.000 7.068 1.796 0.000 -0.164 0.000 5.767" Properties=species:S:1:pos:R:3 pbc="T T T"
Pu 0.736 0.000 1.474
Pu 4.431 0.000 1.455
Pu 9.541 0.000 4.312
Pu 13.236 0.000 4.293
N 6.986 0.000 2.884
O 2.462 0.000 0.010
O 2.441 0.000 2.863
O 7.068 0.000 0.000
O 11.530 0.000 2.904
O 11.510 0.000 5.757
```

=====

(8)
Computed, not measured: a geometry-optimized Dy3Ho4Er4 structure at the PBE-GGA level of DFT.

**Total moment**: 0.00 μB/f.u.
**Calculated total energy**: -4.517 eV per atom
**ρ**: 8.911 g cm⁻³
**Energy of formation from the pure elements**: 0.062 eV/atom

extended XYZ file:
```
11
Lattice="3.465 0.000 0.000 0.001 5.547 0.000 1.727 2.762 17.609" Properties=species:S:1:pos:R:3 pbc="T T T"
Dy 0.000 0.000 0.000
Dy 1.728 5.538 12.798
Dy 3.464 2.771 4.811
Ho 1.729 2.768 8.218
Ho 1.732 5.548 3.187
Ho 3.461 2.761 14.422
Ho 3.463 5.541 9.391
Er 1.732 5.543 6.361
Er 1.733 2.775 1.610
Er 3.459 5.534 16.000
Er 3.460 2.766 11.248
```

=====

> What is the total moment in the third record?

0.00 μB/f.u.